No. 1
The following is a PBE calculation of a relaxed SrHoCuSe2S crystal, from OQMD via LeMat-Bulk.

Unit cell a=4.0383 b=13.4590 c=10.2769 alpha=90.00 beta=90.00 gamma=90.00
Space group Cmcm (No. 63)
Inequivalent atoms, fractional coordinates:
Sr 0.0000 0.2384 0.2500
Ho 0.0000 0.5000 0.0000
Cu 0.0000 0.0264 0.7500
Se 0.0000 0.1419 0.5638
S 0.0000 0.4292 0.7500

The volume is 23.3 Å³ per atom. The total magnetization comes out at 0.0 μB/cell. The value obtained for the uncorrected energy is -5.122 eV per atom.


No. 2
The following is a PBE calculation of a relaxed Ho3CuSiS7 crystal, from OQMD via LeMat-Bulk.

Unit cell a=9.8539 b=9.8539 c=5.6638 alpha=90.00 beta=90.00 gamma=120.00
Space group P6_3 (No. 173)
Inequivalent atoms, fractional coordinates:
Ho 0.1269 0.3567 0.0000
Cu 0.0000 0.0000 0.0328
Si 0.3333 0.6667 0.4108
S 0.0934 0.2590 0.5234
S 0.1056 0.5845 0.2592
S 0.3333 0.6667 0.7831

The volume is 19.8 Å³ per atom. The total magnetization comes out at 0.0 μB/cell. The value obtained for the uncorrected energy is -5.829 eV per atom.


No. 3
The following is a PBE calculation of a relaxed SmHoCuS3 crystal, from OQMD via LeMat-Bulk.

Unit cell a=7.6255 b=3.7797 c=8.8917 alpha=90.00 beta=102.36 gamma=90.00
Space group P2_1/m (No. 11)
Inequivalent atoms, fractional coordinates:
Sm 0.2058 0.2500 0.2674
Ho 0.3193 0.7500 0.8379
Cu 0.0900 0.2500 0.5842
S 0.0665 0.2500 0.8412
S 0.2507 0.7500 0.5219
S 0.4211 0.7500 0.1552

The volume is 20.9 Å³ per atom. The total magnetization comes out at 0.0 μB/cell. The value obtained for the uncorrected energy is -5.797 eV per atom.


No. 4
The following is a PBE calculation of a relaxed SmHoCuS3 crystal, from OQMD via LeMat-Bulk.

Unit cell a=3.7913 b=12.6881 c=10.0863 alpha=90.00 beta=90.00 gamma=90.00
Space group Cmcm (No. 63)
Inequivalent atoms, fractional coordinates:
Sm 0.0000 0.2349 0.2500
Ho 0.0000 0.0000 0.0000
Cu 0.0000 0.4791 0.7500
S 0.0000 0.0909 0.7500
S 0.0000 0.3576 0.5754

The volume is 20.2 Å³ per atom. The total magnetization comes out at 0.0 μB/cell. The value obtained for the uncorrected energy is -5.795 eV per atom.


No. 5
The following is a PBE calculation of a relaxed Ho3CuSnS7 crystal, from OQMD via LeMat-Bulk.

Unit cell a=9.6932 b=9.6932 c=6.2342 alpha=90.00 beta=90.00 gamma=120.00
Space group P6_3 (No. 173)
Inequivalent atoms, fractional coordinates:
Ho 0.1521 0.7925 0.0000
Cu 0.0000 0.0000 0.3789
Sn 0.3333 0.6667 0.5637
S 0.0809 0.5199 0.7480
S 0.1170 0.8535 0.4185
S 0.3333 0.6667 0.1785

The volume is 21.1 Å³ per atom. The total magnetization comes out at 0.0 μB/cell. The value obtained for the uncorrected energy is -5.604 eV per atom.


No. 6
The following is a PBE calculation of a relaxed HoCuSnTe2S crystal, from OQMD via LeMat-Bulk.

Unit cell a=4.1534 b=14.3042 c=10.2607 alpha=90.00 beta=90.00 gamma=90.00
Space group Cmcm (No. 63)
Inequivalent atoms, fractional coordinates:
Ho 0.0000 0.0000 0.0000
Cu 0.0000 0.4824 0.2500
Sn 0.0000 0.2745 0.7500
Te 0.0000 0.3507 0.0652
S 0.0000 0.0680 0.2500

The volume is 25.4 Å³ per atom. The total magnetization comes out at 0.0 μB/cell. The value obtained for the uncorrected energy is -4.559 eV per atom.


No. 7
The following is a PBE calculation of a relaxed SrHoCuS3 crystal, from OQMD via LeMat-Bulk.

Unit cell a=17.3673 b=3.9319 c=7.9880 alpha=90.00 beta=102.97 gamma=90.00
Space group C2/m (No. 12)
Inequivalent atoms, fractional coordinates:
Sr 0.1290 0.0000 0.0702
Ho 0.1625 0.0000 0.5822
Cu 0.0348 0.5000 0.7106
S 0.0000 0.0000 0.5000
S 0.0000 0.5000 0.0000
S 0.1726 0.5000 0.8184
S 0.1754 0.5000 0.3560

The volume is 22.1 Å³ per atom. The total magnetization comes out at 0.0 μB/cell. The value obtained for the uncorrected energy is -5.334 eV per atom.


No. 8
The following is a PBE calculation of a relaxed SrHoCuS3 crystal, from OQMD via LeMat-Bulk.

Unit cell a=8.1574 b=3.9183 c=8.7080 alpha=90.00 beta=104.21 gamma=90.00
Space group P2_1/m (No. 11)
Inequivalent atoms, fractional coordinates:
Sr 0.1956 0.2500 0.2429
Ho 0.3232 0.7500 0.8349
Cu 0.0847 0.2500 0.5896
S 0.0999 0.2500 0.8622
S 0.2192 0.7500 0.5171
S 0.4408 0.7500 0.1615

The volume is 22.5 Å³ per atom. The total magnetization comes out at 0.0 μB/cell. The value obtained for the uncorrected energy is -5.405 eV per atom.


What did the third record say?
The following is a PBE calculation of a relaxed SmHoCuS3 crystal, from OQMD via LeMat-Bulk.

Unit cell a=7.6255 b=3.7797 c=8.8917 alpha=90.00 beta=102.36 gamma=90.00
Space group P2_1/m (No. 11)
Inequivalent atoms, fractional coordinates:
Sm 0.2058 0.2500 0.2674
Ho 0.3193 0.7500 0.8379
Cu 0.0900 0.2500 0.5842
S 0.0665 0.2500 0.8412
S 0.2507 0.7500 0.5219
S 0.4211 0.7500 0.1552

The volume is 20.9 Å³ per atom. The total magnetization comes out at 0.0 μB/cell. The value obtained for the uncorrected energy is -5.797 eV per atom.


> What is the formula in the fifth record?

Ho3CuSnS7


> Among the records above, which one has the highest uncorrected energy?

HoCuSnTe2S


Repeat the third record exactly.
The following is a PBE calculation of a relaxed SmHoCuS3 crystal, from OQMD via LeMat-Bulk.

Unit cell a=7.6255 b=3.7797 c=8.8917 alpha=90.00 beta=102.36 gamma=90.00
Space group P2_1/m (No. 11)
Inequivalent atoms, fractional coordinates:
Sm 0.2058 0.2500 0.2674
Ho 0.3193 0.7500 0.8379
Cu 0.0900 0.2500 0.5842
S 0.0665 0.2500 0.8412
S 0.2507 0.7500 0.5219
S 0.4211 0.7500 0.1552

The volume is 20.9 Å³ per atom. The total magnetization comes out at 0.0 μB/cell. The value obtained for the uncorrected energy is -5.797 eV per atom.